No. 1
This record from the Alexandria database describes a geometry-optimized RuCS2Cl structure. The functional is GGA-PBE.

ΔE to the lowest computed polymorph: 11.58 kcal/mol of atoms
DOS(E_F): 0.991 states/eV/atom
Formation energy from raw total energies: 1.5157 eV/atom

a = 4.0676 Å, b = 4.0676 Å, c = 4.1302 Å
α = 90.00°, β = 90.00°, γ = 90.00°
Last column: nearest neighbours and their distance in Å.
Fractional positions:
S1 0.5000 0.0000 0.0000  2 C 2.03
S2 0.0000 0.5000 0.0000  2 C 2.03
C1 0.0000 0.0000 0.0000  4 S 2.03, 2 Cl 2.07
Cl1 0.0000 0.0000 0.5000  2 C 2.07
Ru1 0.5000 0.5000 0.5000  4 Cl 2.88, 8 S 2.90



No. 2
This record from the Alexandria database describes a geometry-optimized NaDyScTl structure. The functional is GGA-PBE.

DOS(E_F): 1.086 states/eV/atom
DFT formation energy: -0.012 eV/atom

a = 5.2617 Å, b = 5.2617 Å, c = 5.2617 Å
α = 60.00°, β = 60.00°, γ = 60.00°
Last column: nearest neighbours and their distance in Å.
Fractional positions:
Na1 0.0000 0.0000 0.0000  4 Dy 3.22, 4 Sc 3.22
Sc1 0.2500 0.2500 0.2500  4 Na 3.22, 4 Tl 3.22
Dy1 0.7500 0.7500 0.7500  4 Na 3.22, 4 Tl 3.22
Tl1 0.5000 0.5000 0.5000  4 Sc 3.22, 4 Dy 3.22



No. 3
This record from the Alexandria database describes a geometry-optimized Y3Si5Te12 structure. The functional is GGA-PBE.

DOS(E_F): 0.153 states/eV/atom
Formation energy from raw total energies: -0.4211 eV/atom

a = 14.7761 Å, b = 14.7761 Å, c = 14.7761 Å
α = 109.47°, β = 109.47°, γ = 109.47°
Last column: nearest neighbours and their distance in Å.
Fractional positions:
Te1 0.9085 0.8223 0.5355  2 Si 2.60-2.83
Te2 0.8730 0.5862 0.9085  2 Si 2.60-2.83
Te3 0.4138 0.2868 0.3223  2 Si 2.60-2.83
Te4 0.2132 0.5355 0.6270  2 Si 2.60-2.83
Te5 0.0862 0.9085 0.3730  2 Si 2.60-2.83
Te6 0.6270 0.5915 0.9138  2 Si 2.60-2.83
Te7 0.9138 0.8223 0.7868  2 Si 2.60-2.83
Te8 0.5355 0.2132 0.1270  2 Si 2.60-2.83
Te9 0.5862 0.7132 0.6777  2 Si 2.60-2.83
Te10 0.0862 0.1777 0.2132  2 Si 2.60-2.83
Te11 0.4085 0.0355 0.3223  2 Si 2.60-2.83
Te12 0.5862 0.8730 0.4085  2 Si 2.60-2.83
Te13 0.8730 0.2868 0.4645  2 Si 2.60-2.83
Te14 0.2132 0.6777 0.0862  2 Si 2.60-2.83
Te15 0.3730 0.9645 0.7868  2 Si 2.60-2.83
Te16 0.3223 0.7868 0.4138  2 Si 2.60-2.83
Te17 0.9085 0.0862 0.8730  2 Si 2.60-2.83
Te18 0.4138 0.1270 0.5915  2 Si 2.60-2.83
Te19 0.9645 0.5915 0.1777  2 Si 2.60-2.83
Te20 0.5355 0.3223 0.9085  2 Si 2.60-2.83
Te21 0.7132 0.1270 0.0355  2 Si 2.60-2.83
Te22 0.0915 0.1777 0.4645  2 Si 2.60-2.83
Te23 0.1777 0.0915 0.9645  2 Si 2.60-2.83
Te24 0.7868 0.4645 0.3730  2 Si 2.60-2.83
Te25 0.7132 0.5862 0.1777  2 Si 2.60-2.83
Te26 0.6777 0.4645 0.5915  2 Si 2.60-2.83
Te27 0.8223 0.9085 0.0355  2 Si 2.60-2.83
Te28 0.9138 0.0915 0.6270  2 Si 2.60-2.83
Te29 0.1270 0.4138 0.0915  2 Si 2.60-2.83
Te30 0.3223 0.5355 0.4085  2 Si 2.60-2.83
Te31 0.9645 0.3730 0.2868  2 Si 2.60-2.83
Te32 0.4645 0.6777 0.0915  2 Si 2.60-2.83
Te33 0.1270 0.7132 0.5355  2 Si 2.60-2.83
Te34 0.6270 0.0355 0.2132  2 Si 2.60-2.83
Te35 0.3730 0.4085 0.0862  2 Si 2.60-2.83
Te36 0.5915 0.9645 0.6777  2 Si 2.60-2.83
Te37 0.0355 0.6270 0.7132  2 Si 2.60-2.83
Te38 0.0915 0.9138 0.1270  2 Si 2.60-2.83
Te39 0.2868 0.4138 0.8223  2 Si 2.60-2.83
Te40 0.8223 0.9138 0.2868  2 Si 2.60-2.83
Te41 0.7868 0.3223 0.9138  2 Si 2.60-2.83
Te42 0.0355 0.4085 0.8223  2 Si 2.60-2.83
Te43 0.6777 0.2132 0.5862  2 Si 2.60-2.83
Te44 0.4085 0.3730 0.5862  2 Si 2.60-2.83
Te45 0.1777 0.0862 0.7132  2 Si 2.60-2.83
Te46 0.5915 0.6270 0.4138  2 Si 2.60-2.83
Te47 0.2868 0.8730 0.9645  2 Si 2.60-2.83
Te48 0.4645 0.7868 0.8730  2 Si 2.60-2.83
Si1 0.3750 0.1250 0.7500  4 Te 2.60
Si2 0.2500 0.8750 0.1250  4 Te 2.60
Si3 0.7500 0.1250 0.8750  4 Te 2.60
Si4 0.3750 0.2500 0.1250  4 Te 2.60
Si5 0.6250 0.8750 0.2500  4 Te 2.60
Si6 0.5000 0.5000 0.0000  6 Te 2.83
Si7 0.1250 0.7500 0.3750  4 Te 2.60
Si8 0.2500 0.3750 0.6250  4 Te 2.60
Si9 0.7500 0.6250 0.3750  4 Te 2.60
Si10 0.0000 0.0000 0.5000  6 Te 2.83
Si11 0.0000 0.5000 0.0000  6 Te 2.83
Si12 0.5000 0.0000 0.5000  6 Te 2.83
Si13 0.0000 0.5000 0.5000  6 Te 2.83
Si14 0.6250 0.7500 0.8750  4 Te 2.60
Si15 0.0000 0.0000 0.0000  6 Te 2.83
Si16 0.8750 0.2500 0.6250  4 Te 2.60
Si17 0.5000 0.0000 0.0000  6 Te 2.83
Si18 0.8750 0.6250 0.7500  4 Te 2.60
Si19 0.1250 0.3750 0.2500  4 Te 2.60
Si20 0.5000 0.5000 0.5000  6 Te 2.83
Y1 0.7500 0.8750 0.6250  8 Te 3.23-3.29
Y2 0.8750 0.7500 0.1250  8 Te 3.23-3.29
Y3 0.3750 0.6250 0.2500  8 Te 3.23-3.29
Y4 0.6250 0.2500 0.3750  8 Te 3.23-3.29
Y5 0.8750 0.1250 0.2500  8 Te 3.23-3.29
Y6 0.3750 0.7500 0.6250  8 Te 3.23-3.29
Y7 0.7500 0.3750 0.1250  8 Te 3.23-3.29
Y8 0.2500 0.6250 0.8750  8 Te 3.23-3.29
Y9 0.1250 0.8750 0.7500  8 Te 3.23-3.29
Y10 0.6250 0.3750 0.7500  8 Te 3.23-3.29
Y11 0.2500 0.1250 0.3750  8 Te 3.23-3.29
Y12 0.1250 0.2500 0.8750  8 Te 3.23-3.29



No. 4
This record from the Alexandria database describes a geometry-optimized NaTmSc4S8 structure. The functional is GGA-PBE.

DOS(E_F): 0.000 states/eV/atom
Formation energy from raw total energies: -1.8255 eV/atom

a = 7.6884 Å, b = 7.6884 Å, c = 7.7925 Å
α = 60.44°, β = 60.44°, γ = 60.00°
Last column: nearest neighbours and their distance in Å.
Fractional positions:
S1 0.2442 0.2442 0.7264  2 Sc 2.51, 1 Na 2.61, 1 Tm 2.64
S2 0.7527 0.7527 0.2628  3 Sc 2.49-2.72, 1 Tm 2.75
S3 0.7577 0.7577 0.7270  4 Sc 2.52-2.71
S4 0.2362 0.2362 0.2914  3 Sc 2.53, 1 Na 2.61
S5 0.2442 0.7852 0.7264  2 Sc 2.51, 1 Na 2.61, 1 Tm 2.64
S6 0.7527 0.2317 0.2628  3 Sc 2.49-2.72, 1 Tm 2.75
S7 0.2317 0.7527 0.2628  3 Sc 2.49-2.72, 1 Tm 2.75
S8 0.7852 0.2442 0.7264  2 Sc 2.51, 1 Na 2.61, 1 Tm 2.64
Sc1 0.0053 0.0053 0.5063  6 S 2.51-2.72
Sc2 0.4832 0.0053 0.5063  6 S 2.51-2.72
Sc3 0.6264 0.6264 0.1207  4 S 2.49-2.52
Sc4 0.0053 0.4832 0.5063  6 S 2.51-2.72
Tm1 0.0035 0.0035 0.9895  6 S 2.64-2.75
Na1 0.3718 0.3718 0.8846  4 S 2.61



No. 5
This record from the Alexandria database describes a geometry-optimized Pm2Sm4Dy2Y structure. The functional is GGA-PBE.

DOS(E_F): 1.522 states/eV/atom
DFT formation energy: 0.017 eV/atom

a = 5.1071 Å, b = 8.0802 Å, c = 8.0569 Å
α = 107.54°, β = 90.00°, γ = 108.42°
Last column: nearest neighbours and their distance in Å.
Fractional positions:
Sm1 0.4445 0.8890 0.6677  2 Y 3.60, 2 Dy 3.60-3.61, 4 Sm 3.61-3.62, 4 Pm 3.62
Sm2 0.7779 0.5558 0.6682  3 Dy 3.60, 1 Y 3.60, 3 Pm 3.61-3.62, 5 Sm 3.61-3.62
Sm3 0.2221 0.4442 0.3318  3 Dy 3.60, 1 Y 3.60, 3 Pm 3.61-3.62, 5 Sm 3.61-3.62
Sm4 0.5555 0.1110 0.3323  2 Y 3.60, 2 Dy 3.60-3.61, 4 Sm 3.61-3.62, 4 Pm 3.62
Y1 0.0000 0.0000 0.0000  6 Sm 3.60, 2 Pm 3.60, 4 Dy 3.62
Pm1 0.8884 0.7768 0.3320  3 Dy 3.59-3.60, 1 Y 3.60, 7 Sm 3.61-3.62, 1 Pm 3.63
Pm2 0.1116 0.2232 0.6680  3 Dy 3.59-3.60, 1 Y 3.60, 7 Sm 3.61-3.62, 1 Pm 3.63
Dy1 0.3330 0.6660 0.9999  3 Pm 3.59-3.60, 5 Sm 3.60-3.61, 2 Dy 3.61, 2 Y 3.62
Dy2 0.6670 0.3340 0.0001  3 Pm 3.59-3.60, 5 Sm 3.60-3.61, 2 Dy 3.61, 2 Y 3.62



No. 6
This record from the Alexandria database describes a geometry-optimized BeZn2As structure. The functional is GGA-PBE.

ΔE to the lowest computed polymorph: 6.45 kcal/mol of atoms
DOS(E_F): 0.479 states/eV/atom
DFT formation energy: 0.454 eV/atom

a = 4.4544 Å, b = 4.4544 Å, c = 4.4544 Å
α = 60.00°, β = 60.00°, γ = 60.00°
Last column: nearest neighbours and their distance in Å.
Fractional positions:
Zn1 0.2500 0.2500 0.2500  4 As 2.73, 4 Be 2.73
Zn2 0.7500 0.7500 0.7500  4 As 2.73, 4 Be 2.73
Be1 0.0000 0.0000 0.0000  8 Zn 2.73
As1 0.5000 0.5000 0.5000  8 Zn 2.73



No. 7
This record from the Alexandria database describes a geometry-optimized PrH2Au structure. The functional is GGA-PBE.

DOS(E_F): 0.185 states/eV/atom
E_tot: -4.19 eV/atom

a = 5.0025 Å, b = 6.4192 Å, c = 7.3348 Å
α = 90.00°, β = 89.99°, γ = 90.00°
Last column: nearest neighbours and their distance in Å.
Fractional positions:
Au1 0.7499 0.3769 0.9666  2 H 2.04
Au2 0.2501 0.6231 0.0334  2 H 2.04
Au3 0.2501 0.8769 0.5334  2 H 2.04
Au4 0.7499 0.1231 0.4666  2 H 2.04
H1 0.9895 0.8501 0.1116  1 Au 2.04
H2 0.0105 0.3501 0.3884  1 Au 2.04
H3 0.4886 0.3507 0.3882  1 Au 2.04
H4 0.0105 0.1499 0.8884  1 Au 2.04
H5 0.4886 0.1493 0.8882  1 Au 2.04
H6 0.5114 0.6493 0.6118  1 Au 2.04
H7 0.5114 0.8507 0.1118  1 Au 2.04
H8 0.9895 0.6499 0.6116  1 Au 2.04
Pr1 0.2500 0.1480 0.1680  6 H 2.35-2.39
Pr2 0.7500 0.8520 0.8320  6 H 2.35-2.39
Pr3 0.2500 0.3520 0.6680  6 H 2.35-2.39
Pr4 0.7500 0.6480 0.3320  6 H 2.35-2.39



No. 8
This record from the Alexandria database describes a geometry-optimized CaTbAgIr structure. The functional is GGA-PBE.

ΔE to the lowest computed polymorph: 0.00 kcal/mol of atoms
DOS(E_F): 0.581 states/eV/atom
DFT formation energy: -0.472 eV/atom

a = 3.5009 Å, b = 3.5009 Å, c = 7.4403 Å
α = 90.00°, β = 90.00°, γ = 90.00°
Last column: nearest neighbours and their distance in Å.
Fractional positions:
Tb1 0.5000 0.5000 0.3536  4 Ir 2.88, 4 Ag 3.20
Ca1 0.5000 0.5000 0.7983  4 Ir 3.08, 4 Ag 3.25, 1 Tb 3.31
Ag1 0.0000 0.0000 0.0814  4 Tb 3.20, 4 Ca 3.25, 1 Ir 3.50, 4 Ag 3.50
Ir1 0.0000 0.0000 0.5514  4 Tb 2.88, 4 Ca 3.08